w:
First-principles (PBE-GGA) data for a relaxed Pr2CoCl crystal, as listed in the Alexandria database.

a = 3.9737 Å, b = 3.9737 Å, c = 15.3297 Å
α = 90.00°, β = 90.00°, γ = 120.00°
Last column: nearest neighbours and their distance in Å.
Element x y z (fractional)
Pr1 0.3333 0.6667 0.1006  3 Co 2.76
Pr2 0.3333 0.6667 0.3994  3 Co 2.76
Pr3 0.6667 0.3333 0.6006  3 Co 2.76
Pr4 0.6667 0.3333 0.8994  3 Co 2.76
Co1 0.0000 0.0000 0.0000  6 Pr 2.76
Co2 0.0000 0.0000 0.5000  6 Pr 2.76
Cl1 0.3333 0.6667 0.7500  6 Pr 3.24
Cl2 0.6667 0.3333 0.2500  6 Pr 3.24

***

x:
First-principles (PBE-GGA) data for a relaxed Pr2CoCl crystal, as listed in the Alexandria database.

a = 3.4059 Å, b = 3.4059 Å, c = 8.0951 Å
α = 90.00°, β = 90.00°, γ = 90.00°
Last column: nearest neighbours and their distance in Å.
Element x y z (fractional)
Pr1 0.0000 0.0000 0.2152  4 Co 2.97
Pr2 0.0000 0.0000 0.7848  4 Co 2.97
Co1 0.5000 0.5000 0.0000  8 Pr 2.97
Cl1 0.5000 0.5000 0.5000  8 Pr 3.33, 4 Cl 3.41

***

Energies, relative to the best one, in eV/atom: w 0.000; x 0.160.

***

w:
First-principles (PBE-GGA) data for a relaxed Co2PtCl crystal, as listed in the Alexandria database.

a = 4.3281 Å, b = 4.3281 Å, c = 4.3281 Å
α = 60.00°, β = 60.00°, γ = 60.00°
Last column: nearest neighbours and their distance in Å.
Element x y z (fractional)
Co1 0.2500 0.2500 0.2500  4 Cl 2.65, 4 Pt 2.65
Co2 0.7500 0.7500 0.7500  4 Cl 2.65, 4 Pt 2.65
Pt1 0.0000 0.0000 0.0000  8 Co 2.65
Cl1 0.5000 0.5000 0.5000  8 Co 2.65

***

x:
First-principles (PBE-GGA) data for a relaxed Co2PtCl crystal, as listed in the Alexandria database.

a = 6.3064 Å, b = 6.3064 Å, c = 6.3064 Å
α = 154.44°, β = 146.18°, γ = 42.86°
Last column: nearest neighbours and their distance in Å.
Element x y z (fractional)
Co1 0.0000 0.0000 0.0000  4 Cl 2.37, 2 Pt 2.65
Co2 0.7936 0.2936 0.5000  4 Pt 2.60, 2 Cl 2.61, 4 Co 2.79-2.80
Pt1 0.1918 0.6918 0.5000  6 Co 2.60-2.65, 2 Pt 2.79
Cl1 0.4519 0.4519 0.0000  6 Co 2.37-2.61

***

y:
First-principles (PBE-GGA) data for a relaxed Co2PtCl crystal, as listed in the Alexandria database.

a = 2.7679 Å, b = 4.3618 Å, c = 4.7787 Å
α = 90.00°, β = 90.00°, γ = 90.00°
Last column: nearest neighbours and their distance in Å.
Element x y z (fractional)
Co1 0.0000 0.0000 0.0000  4 Cl 2.58, 6 Co 2.76-2.77
Co2 0.5000 0.0000 0.5000  4 Pt 2.58, 6 Co 2.76-2.77
Pt1 0.0000 0.5000 0.5000  4 Co 2.58, 4 Cl 2.76, 2 Pt 2.77
Cl1 0.5000 0.5000 0.0000  4 Co 2.58, 4 Pt 2.76, 2 Cl 2.77

***

Energies, relative to the best one, in eV/atom: w 0.198; x 0.000; y 0.297.

***

w:
First-principles (PBE-GGA) data for a relaxed Co2PtCl crystal, as listed in the Alexandria database.

a = 3.0596 Å, b = 3.0596 Å, c = 6.7865 Å
α = 90.00°, β = 90.00°, γ = 90.00°
Last column: nearest neighbours and their distance in Å.
Element x y z (fractional)
Co1 0.0000 0.0000 0.0000  4 Co 2.43, 1 Pt 2.54, 4 Cl 2.57
Co2 0.5000 0.5000 0.1616  4 Co 2.43, 1 Cl 2.48, 4 Pt 2.60
Pt1 0.0000 0.0000 0.3749  5 Co 2.54-2.60
Cl1 0.5000 0.5000 0.7956  5 Co 2.48-2.57

***

x:
First-principles (PBE-GGA) data for a relaxed Co2PtCl crystal, as listed in the Alexandria database.

a = 2.8499 Å, b = 3.5904 Å, c = 6.4129 Å
α = 90.00°, β = 90.00°, γ = 90.00°
Last column: nearest neighbours and their distance in Å.
Element x y z (fractional)
Co1 0.0000 0.0000 0.1924  2 Cl 2.43, 1 Co 2.47, 4 Pt 2.60
Co2 0.0000 0.0000 0.8076  2 Cl 2.43, 1 Co 2.47, 4 Pt 2.60
Pt1 0.5000 0.5000 0.0000  8 Co 2.60, 2 Pt 2.85
Cl1 0.5000 0.0000 0.5000  4 Co 2.43

***

y:
First-principles (PBE-GGA) data for a relaxed Co2PtCl crystal, as listed in the Alexandria database.

a = 4.3253 Å, b = 4.3253 Å, c = 4.3253 Å
α = 60.00°, β = 60.00°, γ = 60.00°
Last column: nearest neighbours and their distance in Å.
Element x y z (fractional)
Co1 0.0000 0.0000 0.0000  4 Pt 2.65, 4 Co 2.65
Co2 0.2500 0.2500 0.2500  4 Cl 2.65, 4 Co 2.65
Pt1 0.7500 0.7500 0.7500  4 Cl 2.65, 4 Co 2.65
Cl1 0.5000 0.5000 0.5000  4 Pt 2.65, 4 Co 2.65

***

z:
First-principles (PBE-GGA) data for a relaxed Co2PtCl crystal, as listed in the Alexandria database.

a = 2.7590 Å, b = 2.7590 Å, c = 9.3267 Å
α = 90.00°, β = 90.00°, γ = 118.82°
Last column: nearest neighbours and their distance in Å.
Element x y z (fractional)
Co1 0.0000 0.0000 0.0000  2 Cl 2.32, 2 Co 2.34
Co2 0.5000 0.5000 0.2001  2 Co 2.34, 2 Pt 2.59
Pt1 0.0000 0.0000 0.4336  2 Co 2.59, 6 Pt 2.76-2.81
Cl1 0.5000 0.5000 0.8016  2 Co 2.32

***

Energies, relative to the best one, in eV/atom: w 0.141; x 0.000; y 0.569; z 0.209.

***

w:
First-principles (PBE-GGA) data for a relaxed Co3PtCl crystal, as listed in the Alexandria database.

a = 4.0930 Å, b = 4.0930 Å, c = 4.0930 Å
α = 90.00°, β = 90.00°, γ = 90.00°
Last column: nearest neighbours and their distance in Å.
Element x y z (fractional)
Co1 0.0000 0.0000 0.5000  2 Cl 2.05
Co2 0.0000 0.5000 0.0000  2 Cl 2.05
Co3 0.5000 0.0000 0.0000  2 Cl 2.05
Pt1 0.5000 0.5000 0.5000  12 Co 2.89
Cl1 0.0000 0.0000 0.0000  6 Co 2.05

***

x:
First-principles (PBE-GGA) data for a relaxed Co3PtCl crystal, as listed in the Alexandria database.

a = 4.7127 Å, b = 4.7127 Å, c = 4.7127 Å
α = 90.00°, β = 90.00°, γ = 90.00°
Last column: nearest neighbours and their distance in Å.
Element x y z (fractional)
Co1 0.0000 0.0000 0.5000  2 Pt 2.36
Co2 0.0000 0.5000 0.0000  2 Pt 2.36
Co3 0.5000 0.0000 0.0000  2 Pt 2.36
Pt1 0.0000 0.0000 0.0000  6 Co 2.36
Cl1 0.5000 0.5000 0.5000  12 Co 3.33

***

Energies, relative to the best one, in eV/atom: w 0.000; x 0.452.

***

w:
First-principles (PBE-GGA) data for a relaxed CoPtSCl2 crystal, as listed in the Alexandria database.

a = 4.3438 Å, b = 4.3438 Å, c = 4.9049 Å
α = 90.00°, β = 90.00°, γ = 90.00°
Last column: nearest neighbours and their distance in Å.
Element x y z (fractional)
Co1 0.0000 0.0000 0.0000  4 Cl 2.17
Pt1 0.5000 0.5000 0.5000  4 S 3.07, 8 Cl 3.28
S1 0.0000 0.0000 0.5000  2 Co 2.45
Cl1 0.0000 0.5000 0.0000  2 Co 2.17
Cl2 0.5000 0.0000 0.0000  2 Co 2.17

***

x:
First-principles (PBE-GGA) data for a relaxed CoPtSCl2 crystal, as listed in the Alexandria database.

a = 4.8545 Å, b = 4.8545 Å, c = 4.7376 Å
α = 90.00°, β = 90.00°, γ = 90.00°
Last column: nearest neighbours and their distance in Å.
Element x y z (fractional)
Co1 0.0000 0.0000 0.0000  8 Cl 3.39, 4 S 3.43
Pt1 0.5000 0.5000 0.5000  2 S 2.37, 4 Cl 2.43
S1 0.5000 0.5000 0.0000  2 Pt 2.37
Cl1 0.0000 0.5000 0.5000  2 Pt 2.43
Cl2 0.5000 0.0000 0.5000  2 Pt 2.43

***

Energies, relative to the best one, in eV/atom: w 0.000; x 0.032.

***

w:
First-principles (PBE-GGA) data for a relaxed RbCoCl4 crystal, as listed in the Alexandria database.

a = 8.3925 Å, b = 8.3925 Å, c = 8.3925 Å
α = 104.65°, β = 104.65°, γ = 119.62°
Last column: nearest neighbours and their distance in Å.
Element x y z (fractional)
Rb1 0.3750 0.6250 0.7500  8 Cl 3.41-3.47
Rb2 0.6250 0.3750 0.2500  8 Cl 3.41-3.47
Co1 0.1250 0.8750 0.2500  4 Cl 2.18
Co2 0.8750 0.1250 0.7500  4 Cl 2.18
Cl1 0.1431 0.7217 0.4214  1 Co 2.18
Cl2 0.1997 0.2783 0.9214  1 Co 2.18
Cl3 0.2783 0.1997 0.4214  1 Co 2.18
Cl4 0.2783 0.8569 0.0786  1 Co 2.18
Cl5 0.7217 0.1431 0.9214  1 Co 2.18
Cl6 0.7217 0.8003 0.5786  1 Co 2.18
Cl7 0.8003 0.7217 0.0786  1 Co 2.18
Cl8 0.8569 0.2783 0.5786  1 Co 2.18

***

x:
First-principles (PBE-GGA) data for a relaxed RbCoCl4 crystal, as listed in the Alexandria database.

a = 8.7678 Å, b = 8.7678 Å, c = 6.1637 Å
α = 109.49°, β = 109.49°, γ = 40.88°
Last column: nearest neighbours and their distance in Å.
Element x y z (fractional)
Rb1 0.2153 0.7847 0.7500  10 Cl 3.30-3.64
Rb2 0.7847 0.2153 0.2500  10 Cl 3.30-3.64
Co1 0.0000 0.5000 0.0000  6 Cl 2.26-2.31
Co2 0.5000 0.0000 0.5000  6 Cl 2.26-2.31
Cl1 0.1491 0.2893 0.2877  2 Co 2.29-2.31
Cl2 0.2103 0.5788 0.1574  1 Co 2.26
Cl3 0.2893 0.1491 0.7877  2 Co 2.29-2.31
Cl4 0.4212 0.7897 0.3426  1 Co 2.26
Cl5 0.5788 0.2103 0.6574  1 Co 2.26
Cl6 0.7107 0.8509 0.2123  2 Co 2.29-2.31
Cl7 0.7897 0.4212 0.8426  1 Co 2.26
Cl8 0.8509 0.7107 0.7123  2 Co 2.29-2.31

***

Energies, relative to the best one, in eV/atom: w 0.000; x 0.087.